1.
AcZn9Sn2: optimized geometry, PBE.

DFT formation energy ... -1.1 eV per formula unit
Crystal system ... trigonal
DFT total energy ... -2.060 eV per atom
DOS at the Fermi energy ... 4.5 states/eV/f.u.

a b c (Å): 5.6580 5.6580 25.1451
angles (deg): 90.00 90.00 120.00
Space group R-3m (No. 166, hexagonal axes)
Inequivalent atoms, fractional coordinates:
Ac1 0.0000 0.0000 0.0000 (multiplicity 3)
Zn1 0.0000 0.0000 0.3314 (multiplicity 6)
Zn2 0.0000 0.0000 0.5000 (multiplicity 3)
Zn3 0.0012 0.5006 0.9155 (multiplicity 18)
Sn1 0.0000 0.0000 0.1387 (multiplicity 6)

---

2.
AcZrSn: optimized geometry, PBE.

DFT formation energy ... -1.5 eV per formula unit
Crystal system ... tetragonal
DFT total energy ... -6.045 eV per atom
E above lowest polymorph ... 0.000 eV per atom
DOS at the Fermi energy ... 4.2 states/eV/f.u.

a b c (Å): 4.6057 4.6057 8.7784
angles (deg): 90.00 90.00 90.00
Space group P4/nmm (No. 129, origin choice 2)
Inequivalent atoms, fractional coordinates:
Ac1 0.2500 0.2500 0.1545 (multiplicity 2)
Zr1 0.2500 0.7500 0.5000 (multiplicity 2)
Sn1 0.2500 0.2500 0.7316 (multiplicity 2)

---

3.
AcZrSn2: optimized geometry, PBE.

DFT formation energy ... -1.0 eV per formula unit
Crystal system ... trigonal
DFT total energy ... -5.426 eV per atom
DOS at the Fermi energy ... 2.8 states/eV/f.u.

a b c (Å): 3.5350 3.5350 31.3582
angles (deg): 90.00 90.00 120.00
Space group R-3m (No. 166, hexagonal axes)
Inequivalent atoms, fractional coordinates:
Ac1 0.0000 0.0000 0.0000 (multiplicity 3)
Zr1 0.0000 0.0000 0.5000 (multiplicity 3)
Sn1 0.0000 0.0000 0.2413 (multiplicity 6)

---

4.
AcZrSn: optimized geometry, PBE.

DFT formation energy ... -1.1 eV per formula unit
Crystal system ... orthorhombic
DFT total energy ... -5.924 eV per atom
E above lowest polymorph ... 0.121 eV per atom
DOS at the Fermi energy ... 3.1 states/eV/f.u.

a b c (Å): 3.8563 24.5800 3.8922
angles (deg): 90.00 90.00 90.00
Space group Cmcm (No. 63)
Inequivalent atoms, fractional coordinates:
Ac1 0.0000 0.0708 0.2500 (multiplicity 4)
Zr1 0.0000 0.2158 0.2500 (multiplicity 4)
Sn1 0.0000 0.3398 0.2500 (multiplicity 4)

---

5.
Ac2ZrSn: optimized geometry, PBE.

DFT formation energy ... 1.3 eV per formula unit
Crystal system ... trigonal
DFT total energy ... -4.874 eV per atom
E above lowest polymorph ... 0.459 eV per atom
DOS at the Fermi energy ... 5.6 states/eV/f.u.

a b c (Å): 3.5796 3.5796 36.7007
angles (deg): 90.00 90.00 120.00
Space group R-3m (No. 166, hexagonal axes)
Inequivalent atoms, fractional coordinates:
Ac1 0.0000 0.0000 0.0891 (multiplicity 6)
Zr1 0.0000 0.0000 0.0000 (multiplicity 3)
Sn1 0.0000 0.0000 0.5000 (multiplicity 3)

---

6.
Ac2ZrSn: optimized geometry, PBE.

DFT formation energy ... -0.6 eV per formula unit
Crystal system ... tetragonal
DFT total energy ... -5.332 eV per atom
E above lowest polymorph ... 0.000 eV per atom
DOS at the Fermi energy ... 3.5 states/eV/f.u.

a b c (Å): 5.1037 5.1037 4.9021
angles (deg): 90.00 90.00 90.00
Space group P4/mmm (No. 123)
Inequivalent atoms, fractional coordinates:
Ac1 0.0000 0.5000 0.0000 (multiplicity 2)
Zr1 0.0000 0.0000 0.5000 (multiplicity 1)
Sn1 0.5000 0.5000 0.5000 (multiplicity 1)

---

7.
AcZrSn: optimized geometry, PBE.

DFT formation energy ... -0.7 eV per formula unit
Crystal system ... tetragonal
DFT total energy ... -5.776 eV per atom
E above lowest polymorph ... 0.269 eV per atom
DOS at the Fermi energy ... 4.0 states/eV/f.u.

a b c (Å): 3.9969 3.9969 11.2533
angles (deg): 90.00 90.00 90.00
Space group I4mm (No. 107)
Inequivalent atoms, fractional coordinates:
Ac1 0.0000 0.0000 0.0000 (multiplicity 2)
Zr1 0.0000 0.0000 0.2931 (multiplicity 2)
Sn1 0.0000 0.0000 0.6982 (multiplicity 2)

---

8.
AcZrSn2: optimized geometry, PBE.

DFT formation energy ... -1.9 eV per formula unit
Crystal system ... tetragonal
DFT total energy ... -5.634 eV per atom
DOS at the Fermi energy ... 3.5 states/eV/f.u.

a b c (Å): 3.9806 3.9806 7.0443
angles (deg): 90.00 90.00 90.00
Space group P4/mmm (No. 123)
Inequivalent atoms, fractional coordinates:
Ac1 0.0000 0.0000 0.0000 (multiplicity 1)
Zr1 0.0000 0.0000 0.5000 (multiplicity 1)
Sn1 0.5000 0.5000 0.2951 (multiplicity 2)

---

9.
AcZrSn: optimized geometry, PBE.

DFT formation energy ... -1.4 eV per formula unit
Crystal system ... tetragonal
DFT total energy ... -6.032 eV per atom
E above lowest polymorph ... 0.013 eV per atom
DOS at the Fermi energy ... 4.3 states/eV/f.u.

a b c (Å): 4.5476 4.5476 17.9663
angles (deg): 90.00 90.00 90.00
Space group I4/mmm (No. 139)
Inequivalent atoms, fractional coordinates:
Ac1 0.0000 0.0000 0.1762 (multiplicity 4)
Zr1 0.0000 0.5000 0.0000 (multiplicity 4)
Sn1 0.0000 0.0000 0.3835 (multiplicity 4)

---

10.
Ac5ZrSn4: optimized geometry, PBE.

DFT formation energy ... -3.3 eV per formula unit
Crystal system ... monoclinic
DFT total energy ... -4.837 eV per atom
DOS at the Fermi energy ... 11.6 states/eV/f.u.

a b c (Å): 20.0856 4.5140 8.9366
angles (deg): 90.00 105.34 90.00
Space group C2/m (No. 12)
Inequivalent atoms, fractional coordinates:
Ac1 0.0000 0.0000 0.0000 (multiplicity 2)
Ac2 0.1668 0.5000 0.8583 (multiplicity 4)
Ac3 0.1738 0.5000 0.3237 (multiplicity 4)
Zr1 0.0000 0.0000 0.5000 (multiplicity 2)
Sn1 0.0030 0.5000 0.2831 (multiplicity 4)
Sn2 0.1537 0.0000 0.5816 (multiplicity 4)

---

11.
Sr3Ac: optimized geometry, PBE.

DFT formation energy ... 0.4 eV per formula unit
Crystal system ... cubic
DFT total energy ... -2.181 eV per atom
DOS at the Fermi energy ... 6.9 states/eV/f.u.

a b c (Å): 5.8950 5.8950 5.8950
angles (deg): 90.00 90.00 90.00
Space group Pm-3m (No. 221)
Inequivalent atoms, fractional coordinates:
Sr1 0.0000 0.0000 0.5000 (multiplicity 3)
Ac1 0.5000 0.5000 0.5000 (multiplicity 1)

---

12.
Sr3Ac: optimized geometry, PBE.

DFT formation energy ... 0.3 eV per formula unit
Crystal system ... hexagonal
DFT total energy ... -2.205 eV per atom
DOS at the Fermi energy ... 5.8 states/eV/f.u.

a b c (Å): 8.3471 8.3471 6.7536
angles (deg): 90.00 90.00 120.00
Space group P6_3/mmc (No. 194)
Inequivalent atoms, fractional coordinates:
Sr1 0.1700 0.3400 0.2500 (multiplicity 6)
Ac1 0.3333 0.6667 0.7500 (multiplicity 2)